No. 1
The following is a PBE-GGA calculation of a geometry-optimized Fe2AsAu structure, from Alexandria.

Unit cell a=8.210 b=8.210 c=8.210 alpha=20.29 beta=20.29 gamma=20.29
Site moments in Bohr magnetons follow the coordinates.
Positions (direct):
As: 0.250 0.250 0.250  -0.13
Au: 0.750 0.750 0.750  0.03
Fe: 0.993 0.993 0.993  2.32
Fe: 0.507 0.507 0.507  2.32

Magnetization = 4.4 μB per formula unit
Space group = R-3m (166)
Energy relative to the elements = 0.977 eV/f.u.

No. 2
The following is a PBE-GGA calculation of a geometry-optimized MgCuI4 structure, from Alexandria.

Unit cell a=3.969 b=8.631 c=7.476 alpha=114.59 beta=90.00 gamma=103.30
Site moments in Bohr magnetons follow the coordinates.
Positions (direct):
Mg: 0.000 0.000 0.000  0.00
Cu: 0.500 0.000 0.500  0.26
I: 0.381 0.762 0.015  0.02
I: 0.098 0.196 0.456  0.16
I: 0.619 0.238 0.985  0.02
I: 0.902 0.804 0.544  0.16

Magnetization = 0.8 μB per formula unit
Space group = C2/m (12)
Raw formation energy = -3.111 eV per formula unit

No. 3
The following is a PBE-GGA calculation of a geometry-optimized Ca2TeAsC structure, from Alexandria.

Unit cell a=5.575 b=5.388 c=5.575 alpha=90.00 beta=90.00 gamma=90.00
Site moments in Bohr magnetons follow the coordinates.
Positions (direct):
C: 0.500 0.500 0.500  0.92
As: 0.000 0.000 0.000  -0.01
Te: 0.000 0.500 0.000  -0.02
Ca: 0.000 0.000 0.500  0.00
Ca: 0.500 0.000 0.000  0.00

Magnetization = 2.0 μB per formula unit
Space group = P4/mmm (123)
Raw formation energy = 4.154 eV per formula unit

No. 4
The following is a PBE-GGA calculation of a geometry-optimized CeSnHgSb structure, from Alexandria.

Unit cell a=4.494 b=4.657 c=4.980 alpha=90.00 beta=90.00 gamma=90.00
Site moments in Bohr magnetons follow the coordinates.
Positions (direct):
Ce: 0.000 0.500 0.500  0.48
Sn: 0.500 0.500 0.000  0.01
Hg: 0.000 0.000 0.000  0.01
Sb: 0.500 0.000 0.500  -0.01

Magnetization = 0.6 μB per formula unit
Space group = Pmmm (47)
Raw formation energy = -2.135 eV per formula unit

No. 5
The following is a PBE-GGA calculation of a geometry-optimized CaScB3 structure, from Alexandria.

Unit cell a=4.461 b=4.461 c=4.461 alpha=90.00 beta=90.00 gamma=90.00
Positions (direct):
Sc: 0.000 0.000 0.000
Ca: 0.500 0.500 0.500
B: 0.000 0.500 0.000
B: 0.000 0.000 0.500
B: 0.500 0.000 0.000

Magnetization = 0.0 μB per formula unit
Space group = Pm-3m (221)
Energy relative to the elements = 6.301 eV/f.u.

No. 6
The following is a PBE-GGA calculation of a geometry-optimized LiZn2SiAs structure, from Alexandria.

Unit cell a=4.491 b=4.418 c=4.491 alpha=90.00 beta=90.00 gamma=90.00
Positions (direct):
As: 0.500 0.500 0.500
Si: 0.000 0.500 0.000
Zn: 0.000 0.000 0.500
Zn: 0.500 0.000 0.000
Li: 0.000 0.000 0.000

Magnetization = 0.0 μB per formula unit
Space group = P4/mmm (123)
Raw formation energy = 3.104 eV per formula unit

No. 7
The following is a PBE-GGA calculation of a geometry-optimized HfSiPd structure, from Alexandria.

Unit cell a=3.885 b=6.606 c=7.611 alpha=90.00 beta=90.00 gamma=90.00
Positions (direct):
Si: 0.250 0.258 0.876
Si: 0.750 0.742 0.124
Si: 0.250 0.758 0.624
Si: 0.750 0.242 0.376
Hf: 0.250 0.528 0.321
Hf: 0.750 0.472 0.679
Hf: 0.250 0.028 0.179
Hf: 0.750 0.972 0.821
Pd: 0.750 0.857 0.438
Pd: 0.250 0.143 0.562
Pd: 0.750 0.357 0.062
Pd: 0.250 0.643 0.938

Magnetization = 0.0 μB per formula unit
Space group = Pnma (62)
Raw formation energy = -2.863 eV per formula unit

No. 8
The following is a PBE-GGA calculation of a geometry-optimized TiAlSn2N structure, from Alexandria.

Unit cell a=5.189 b=3.495 c=5.189 alpha=90.00 beta=90.00 gamma=90.00
Positions (direct):
N: 0.000 0.000 0.000
Al: 0.000 0.500 0.000
Sn: 0.000 0.000 0.500
Sn: 0.500 0.000 0.000
Ti: 0.500 0.500 0.500

Magnetization = 0.0 μB per formula unit
Space group = P4/mmm (123)
Raw formation energy = 0.686 eV per formula unit

No. 9
The following is a PBE-GGA calculation of a geometry-optimized RbAcVSe4 structure, from Alexandria.

Unit cell a=7.153 b=6.984 c=9.642 alpha=90.00 beta=107.54 gamma=90.00
Site moments in Bohr magnetons follow the coordinates.
Positions (direct):
Rb: 0.722 0.750 0.933  0.00
Rb: 0.278 0.250 0.067  0.00
Ac: 0.765 0.750 0.451  0.01
Ac: 0.235 0.250 0.549  0.01
V: 0.210 0.750 0.315  1.01
V: 0.790 0.250 0.685  1.01
Se: 0.010 0.507 0.724  -0.03
Se: 0.990 0.007 0.276  -0.03
Se: 0.990 0.493 0.276  -0.03
Se: 0.010 0.993 0.724  -0.03
Se: 0.410 0.750 0.163  -0.03
Se: 0.590 0.250 0.837  -0.03
Se: 0.389 0.750 0.564  -0.03
Se: 0.611 0.250 0.436  -0.03

Magnetization = 1.0 μB per formula unit
Space group = P2_1/m (11)
Raw formation energy = -9.099 eV per formula unit

No. 10
The following is a PBE-GGA calculation of a geometry-optimized HfAl6Cu6 structure, from Alexandria.

Unit cell a=5.078 b=6.532 c=6.532 alpha=80.66 beta=67.13 gamma=67.13
Positions (direct):
Hf: 0.000 0.000 0.000
Al: 0.343 0.657 0.657
Al: 0.657 0.343 0.343
Al: 0.000 0.344 0.656
Al: 0.000 0.656 0.344
Al: 0.318 0.182 0.182
Al: 0.682 0.818 0.818
Cu: 0.000 0.500 0.000
Cu: 0.500 0.500 0.000
Cu: 0.000 0.000 0.500
Cu: 0.500 0.000 0.500
Cu: 0.500 0.763 0.237
Cu: 0.500 0.237 0.763

Magnetization = 0.0 μB per formula unit
Space group = Immm (71)
Energy relative to the elements = -4.025 eV/f.u.

No. 11
The following is a PBE-GGA calculation of a geometry-optimized SrZn2Ir structure, from Alexandria.

Unit cell a=5.004 b=5.004 c=5.004 alpha=128.03 beta=128.03 gamma=76.58
Positions (direct):
Ir: 0.250 0.750 0.500
Sr: 0.750 0.250 0.500
Zn: 0.000 0.000 0.000
Zn: 0.500 0.500 0.000

Magnetization = 0.0 μB per formula unit
Space group = I4/mmm (139)
Energy relative to the elements = -0.128 eV/f.u.

No. 12
The following is a PBE-GGA calculation of a geometry-optimized LaCr2Ru structure, from Alexandria.

Unit cell a=9.531 b=9.531 c=9.531 alpha=18.12 beta=18.12 gamma=18.12
Site moments in Bohr magnetons follow the coordinates.
Positions (direct):
Cr: 0.015 0.015 0.015  2.78
Cr: 0.485 0.485 0.485  2.78
La: 0.250 0.250 0.250  -0.41
Ru: 0.750 0.750 0.750  -0.48

Magnetization = 5.1 μB per formula unit
Space group = R-3m (166)
Energy relative to the elements = 3.132 eV/f.u.

Q: Which value of magnetization does entry 6 give?
A: 0.0 μB per formula unit

Repeat the sixth record exactly.
The following is a PBE-GGA calculation of a geometry-optimized LiZn2SiAs structure, from Alexandria.

Unit cell a=4.491 b=4.418 c=4.491 alpha=90.00 beta=90.00 gamma=90.00
Positions (direct):
As: 0.500 0.500 0.500
Si: 0.000 0.500 0.000
Zn: 0.000 0.000 0.500
Zn: 0.500 0.000 0.000
Li: 0.000 0.000 0.000

Magnetization = 0.0 μB per formula unit
Space group = P4/mmm (123)
Raw formation energy = 3.104 eV per formula unit

Q: Which of these has the highest magnetization?
A: LaCr2Ru